Compound: Ca2TaAg
Source: Alexandria via LeMat-Bulk
Functional: GGA-PBE
Structure: optimized geometry

a = 7.325 Å, b = 7.325 Å, c = 7.325 Å
α = 90.00°, β = 90.00°, γ = 90.00°
Space group F-43m (No. 216)
One atom of each set of equivalent atoms:
Ca 0.000 0.000 0.000 x4
Ca 0.250 0.250 0.250 x4
Ta 0.250 0.250 0.750 x4
Ag 0.000 0.000 0.500 x4

DOS(E_F) (states/eV/cell): 24.4
Calculated formation energy (eV/atom): 0.7289